The following is a DFT calculation (PBE) of a relaxed structure of CaCr3Co.

Values from the calculation:
For the energy above the most stable polymorph in this dataset, the calculation gives 0.000 eV/atom. As for the density of states at the Fermi level: 2.468 states/eV per atom.

Cell: 4.602 4.602 4.602 Å, 90.00 90.00 90.00°
Site moments in Bohr magnetons follow the coordinates.
Fractional positions:
Cr (0.000, 0.500, 0.000)  3.18
Cr (0.000, 0.000, 0.500)  2.95
Cr (0.500, 0.000, 0.000)  3.17
Ca (0.500, 0.500, 0.500)  0.02
Co (0.000, 0.000, 0.000)  -0.37


The following is a DFT calculation (PBE) of a relaxed structure of CaCr2Co.

Values from the calculation:
For the energy above the most stable polymorph in this dataset, the calculation gives 0.251 eV/atom. As for the density of states at the Fermi level: 1.133 states/eV per atom.

Cell: 5.639 5.639 5.639 Å, 153.53 131.89 55.75°
Fractional positions:
Cr (0.042, 0.042, 0.000)
Cr (0.458, 0.458, 0.000)
Ca (0.750, 0.250, 0.500)
Co (0.250, 0.750, 0.500)


The following is a DFT calculation (PBE) of a relaxed structure of CaCr2Co.

Values from the calculation:
For the energy above the most stable polymorph in this dataset, the calculation gives 0.475 eV/atom. As for the density of states at the Fermi level: 2.414 states/eV per atom.

Cell: 4.525 4.525 4.525 Å, 60.00 60.00 60.00°
Site moments in Bohr magnetons follow the coordinates.
Fractional positions:
Cr (0.750, 0.750, 0.750)  3.04
Cr (0.250, 0.250, 0.250)  3.04
Ca (0.000, 0.000, 0.000)  0.09
Co (0.500, 0.500, 0.500)  -0.34


The following is a DFT calculation (PBE) of a relaxed structure of CaCrFe2Co.

Values from the calculation:
As for the density of states at the Fermi level: 1.497 states/eV per atom.

Cell: 4.205 5.041 4.205 Å, 90.00 90.00 90.00°
Site moments in Bohr magnetons follow the coordinates.
Fractional positions:
Cr (0.000, 0.000, 0.000)  -0.93
Ca (0.000, 0.500, 0.000)  -0.09
Co (0.500, 0.500, 0.500)  1.77
Fe (0.000, 0.000, 0.500)  1.83
Fe (0.500, 0.000, 0.000)  1.55


The following is a DFT calculation (PBE) of a relaxed structure of CaCrGaCo2.

Values from the calculation:
As for the density of states at the Fermi level: 1.748 states/eV per atom.

Cell: 4.482 4.915 4.482 Å, 90.00 90.00 90.00°
Site moments in Bohr magnetons follow the coordinates.
Fractional positions:
Cr (0.000, 0.500, 0.000)  3.70
Ca (0.000, 0.000, 0.000)  -0.05
Co (0.000, 0.000, 0.500)  1.25
Co (0.500, 0.000, 0.000)  1.11
Ga (0.500, 0.500, 0.500)  -0.06


The following is a DFT calculation (PBE) of a relaxed structure of Li2CaCrCo.

Values from the calculation:
As for the density of states at the Fermi level: 1.963 states/eV per atom.

Cell: 4.583 4.988 4.583 Å, 90.00 90.00 90.00°
Site moments in Bohr magnetons follow the coordinates.
Fractional positions:
Cr (0.500, 0.500, 0.500)  -0.30
Ca (0.000, 0.500, 0.000)  -0.02
Co (0.000, 0.000, 0.000)  -0.73
Li (0.000, 0.000, 0.500)  0.00
Li (0.500, 0.000, 0.000)  0.01


Number 1: energy of formation 4.6 eV/f.u., total moment 9.9 μB per formula unit. Number 2: energy of formation 2.8 eV/f.u., total moment 0.0 μB per formula unit. Number 3: energy of formation 3.7 eV/f.u., total moment 6.3 μB per formula unit. Number 4: energy of formation 6.8 eV/f.u., total moment 3.9 μB per formula unit. Number 5: energy of formation 9.0 eV/f.u., total moment 6.0 μB per formula unit. Number 6: energy of formation 6.5 eV/f.u., total moment 1.1 μB per formula unit.